VASP calculation (GGA-PBE) on a geometry-optimized Be3NbCd structure.

Cell: 4.4843 4.4843 4.4843 Å, 90.00 90.00 90.00°
With the nearest neighbours (Å) after each atom.
Element x y z (fractional)
Be  0.0000  0.5000  0.0000  2 Nb 2.24
Be  0.0000  0.0000  0.5000  2 Nb 2.24
Be  0.5000  0.0000  0.0000  2 Nb 2.24
Nb  0.0000  0.0000  0.0000  6 Be 2.24
Cd  0.5000  0.5000  0.5000  12 Be 3.17

Summary:
Formation enthalpy at 0 K in meV/atom: 1411
Density in g/cm3: 4.3
E above lowest polymorph in kcal/mol of atoms: 6.27
Size of the total moment in μB per formula unit: 0.00